# 1
# Cu2ReHg

An optimized crystal structure of Cu2ReHg (PBE, the Alexandria database).

Summary:
* formation energy: 749 meV per atom
* density of states at the Fermi level: 6.84 states/eV per cell

```
data_Cu2ReHg
_cell_length_a 3.877
_cell_length_b 3.877
_cell_length_c 8.040
_cell_angle_alpha 90.00
_cell_angle_beta 90.00
_cell_angle_gamma 90.00
_space_group_name_H-M_alt 'I -4 m 2'
_space_group_IT_number 119
_space_group_name_Hall 'I -4 -2'
loop_
_atom_site_label
_atom_site_type_symbol
_atom_site_fract_x
_atom_site_fract_y
_atom_site_fract_z
_atom_site_occupancy
Cu1 Cu 0.000 0.000 0.000 1
Cu2 Cu 0.000 0.500 0.250 1
Re1 Re 0.000 0.000 0.500 1
Hg1 Hg 0.000 0.500 0.750 1
```


# 2
# Cu2ReHg

An optimized crystal structure of Cu2ReHg (PBE, the Alexandria database).

Summary:
* formation energy: 540 meV per atom
* density of states at the Fermi level: 6.57 states/eV per cell

```
data_Cu2ReHg
_cell_length_a 8.924
_cell_length_b 2.693
_cell_length_c 5.190
_cell_angle_alpha 90.00
_cell_angle_beta 97.76
_cell_angle_gamma 90.00
_space_group_name_H-M_alt 'C 1 2/m 1'
_space_group_IT_number 12
loop_
_space_group_symop_operation_xyz
'x,y,z'
'-x,-y,-z'
'-x,y,-z'
'x,-y,z'
'x+1/2,y+1/2,z'
'-x+1/2,-y+1/2,-z'
'-x+1/2,y+1/2,-z'
'x+1/2,-y+1/2,z'
loop_
_atom_site_label
_atom_site_type_symbol
_atom_site_fract_x
_atom_site_fract_y
_atom_site_fract_z
_atom_site_occupancy
Cu1 Cu 0.244 0.000 0.210 1
Re1 Re 0.000 0.500 0.000 1
Hg1 Hg 0.000 0.000 0.500 1
```


# 3
# Cu2ReHg

An optimized crystal structure of Cu2ReHg (PBE, the Alexandria database).

Summary:
* formation energy: 663 meV per atom
* density of states at the Fermi level: 3.05 states/eV per cell

```
data_Cu2ReHg
_cell_length_a 2.774
_cell_length_b 4.598
_cell_length_c 4.835
_cell_angle_alpha 90.00
_cell_angle_beta 90.00
_cell_angle_gamma 90.00
_space_group_name_H-M_alt 'P m m m'
_space_group_IT_number 47
loop_
_space_group_symop_operation_xyz
'x,y,z'
'-x,-y,-z'
'-x,-y,z'
'x,y,-z'
'x,-y,-z'
'-x,y,z'
'-x,y,-z'
'x,-y,z'
loop_
_atom_site_label
_atom_site_type_symbol
_atom_site_fract_x
_atom_site_fract_y
_atom_site_fract_z
_atom_site_occupancy
Cu1 Cu 0.000 0.000 0.000 1
Cu2 Cu 0.500 0.000 0.500 1
Re1 Re 0.000 0.500 0.500 1
Hg1 Hg 0.500 0.500 0.000 1
```


> Look up the density of states at the Fermi level of the second one.

6.57 states/eV per cell


> Look up the formation energy of the third one.

663 meV per atom


Please write out number 1 again, unchanged.
# Cu2ReHg

An optimized crystal structure of Cu2ReHg (PBE, the Alexandria database).

Summary:
* formation energy: 749 meV per atom
* density of states at the Fermi level: 6.84 states/eV per cell

```
data_Cu2ReHg
_cell_length_a 3.877
_cell_length_b 3.877
_cell_length_c 8.040
_cell_angle_alpha 90.00
_cell_angle_beta 90.00
_cell_angle_gamma 90.00
_space_group_name_H-M_alt 'I -4 m 2'
_space_group_IT_number 119
_space_group_name_Hall 'I -4 -2'
loop_
_atom_site_label
_atom_site_type_symbol
_atom_site_fract_x
_atom_site_fract_y
_atom_site_fract_z
_atom_site_occupancy
Cu1 Cu 0.000 0.000 0.000 1
Cu2 Cu 0.000 0.500 0.250 1
Re1 Re 0.000 0.000 0.500 1
Hg1 Hg 0.000 0.500 0.750 1
```